1.
Density functional theory data (PBE) for crystalline FeNi4Pt2 at its relaxed geometry.

a b c (Å): 4.227 4.227 12.195
angles (deg): 90.00 90.00 90.00
Space group I4/mmm (No. 139)
One atom of each set of equivalent atoms:
Fe 0.000 0.000 0.000 (multiplicity 2)
Ni 0.000 0.000 0.183 (multiplicity 4)
Ni 0.000 0.500 0.000 (multiplicity 4)
Pt 0.000 0.000 0.382 (multiplicity 4)

Output
ΔE to the lowest computed polymorph: 0.696 eV per atom
Spin magnetization: 5.654 μB per formula unit
ΔH_f (0 K): 0.755 eV/atom
Total DFT energy (no corrections): -5.484 eV per atom

---

2.
Density functional theory data (PBE) for crystalline Fe8Ni5Pt at its relaxed geometry.

a b c (Å): 6.979 6.979 7.255
angles (deg): 90.00 90.00 90.00
Space group I-4 (No. 82)
One atom of each set of equivalent atoms:
Fe 0.064 0.339 0.097 (multiplicity 8)
Fe 0.107 0.164 0.751 (multiplicity 8)
Ni 0.000 0.000 0.000 (multiplicity 2)
Ni 0.120 0.201 0.423 (multiplicity 8)
Pt 0.000 0.500 0.750 (multiplicity 2)

Output
Spin magnetization: 25.673 μB per formula unit
ΔH_f (0 K): 0.212 eV/atom
Total DFT energy (no corrections): -7.120 eV per atom

---

3.
Density functional theory data (PBE) for crystalline Fe2NiPt at its relaxed geometry.

a b c (Å): 5.224 7.418 2.645
angles (deg): 90.00 90.00 90.00
Space group Cmmm (No. 65)
One atom of each set of equivalent atoms:
Fe 0.250 0.250 0.000 (multiplicity 4)
Ni 0.000 0.000 0.500 (multiplicity 2)
Pt 0.000 0.500 0.500 (multiplicity 2)

Output
Spin magnetization: 6.506 μB per formula unit
ΔH_f (0 K): -0.143 eV/atom
Total DFT energy (no corrections): -7.330 eV per atom

---

4.
Density functional theory data (PBE) for crystalline FeNiPt3 at its relaxed geometry.

a b c (Å): 4.542 4.542 4.542
angles (deg): 90.00 90.00 90.00
Space group Pm-3m (No. 221)
One atom of each set of equivalent atoms:
Fe 0.000 0.000 0.000 (multiplicity 1)
Ni 0.500 0.500 0.500 (multiplicity 1)
Pt 0.000 0.000 0.500 (multiplicity 3)

Output
ΔE to the lowest computed polymorph: 1.326 eV per atom
Spin magnetization: 3.420 μB per formula unit
ΔH_f (0 K): 1.150 eV/atom
Total DFT energy (no corrections): -5.323 eV per atom

---

5.
Density functional theory data (PBE) for crystalline FeNi7Pt4 at its relaxed geometry.

a b c (Å): 5.231 5.848 5.851
angles (deg): 72.79 77.76 64.02
Space group P-1 (No. 2)
One atom of each set of equivalent atoms:
Fe 0.000 0.000 0.000 (multiplicity 1)
Ni 0.090 0.162 0.325 (multiplicity 2)
Ni 0.250 0.502 0.002 (multiplicity 2)
Ni 0.329 0.678 0.320 (multiplicity 2)
Ni 0.500 0.000 0.000 (multiplicity 1)
Pt 0.163 0.340 0.680 (multiplicity 2)
Pt 0.411 0.823 0.674 (multiplicity 2)

Output
Spin magnetization: 9.156 μB per formula unit
ΔH_f (0 K): -0.102 eV/atom
Total DFT energy (no corrections): -6.194 eV per atom

---

6.
Density functional theory data (PBE) for crystalline Fe3NiPt6 at its relaxed geometry.

a b c (Å): 7.254 4.421 9.507
angles (deg): 90.00 109.62 90.00
Space group P2_1/m (No. 11)
One atom of each set of equivalent atoms:
Fe 0.101 0.250 0.236 (multiplicity 2)
Fe 0.294 0.250 0.030 (multiplicity 2)
Fe 0.307 0.750 0.371 (multiplicity 2)
Ni 0.099 0.750 0.566 (multiplicity 2)
Pt 0.081 0.250 0.721 (multiplicity 2)
Pt 0.103 0.750 0.072 (multiplicity 2)
Pt 0.286 0.250 0.526 (multiplicity 2)
Pt 0.289 0.750 0.860 (multiplicity 2)
Pt 0.495 0.250 0.331 (multiplicity 2)
Pt 0.498 0.250 0.836 (multiplicity 2)

Output
Spin magnetization: 12.446 μB per formula unit
ΔH_f (0 K): -0.186 eV/atom
Total DFT energy (no corrections): -6.927 eV per atom

---

7.
Density functional theory data (PBE) for crystalline Fe2Ni7Pt2 at its relaxed geometry.

a b c (Å): 8.096 8.338 4.463
angles (deg): 90.00 113.55 90.00
Space group C2/m (No. 12)
One atom of each set of equivalent atoms:
Fe 0.000 0.224 0.000 (multiplicity 4)
Ni 0.000 0.000 0.500 (multiplicity 2)
Ni 0.092 0.500 0.315 (multiplicity 4)
Ni 0.166 0.240 0.656 (multiplicity 8)
Pt 0.240 0.000 0.061 (multiplicity 4)

Output
Spin magnetization: 10.803 μB per formula unit
ΔH_f (0 K): 0.074 eV/atom
Total DFT energy (no corrections): -6.242 eV per atom

---

8.
Density functional theory data (PBE) for crystalline FeReNiPt at its relaxed geometry.

a b c (Å): 5.957 5.957 5.957
angles (deg): 90.00 90.00 90.00
Space group F-43m (No. 216)
One atom of each set of equivalent atoms:
Fe 0.000 0.000 0.000 (multiplicity 4)
Re 0.250 0.250 0.250 (multiplicity 4)
Ni 0.000 0.000 0.500 (multiplicity 4)
Pt 0.250 0.250 0.750 (multiplicity 4)

Output
Spin magnetization: 2.344 μB per formula unit
ΔH_f (0 K): 0.046 eV/atom
Total DFT energy (no corrections): -8.137 eV per atom

---

9.
Density functional theory data (PBE) for crystalline FeReNi2Pt at its relaxed geometry.

a b c (Å): 4.464 4.464 4.818
angles (deg): 90.00 90.00 90.00
Space group P4/mmm (No. 123)
One atom of each set of equivalent atoms:
Fe 0.000 0.000 0.000 (multiplicity 1)
Re 0.500 0.500 0.500 (multiplicity 1)
Ni 0.000 0.500 0.500 (multiplicity 2)
Pt 0.500 0.500 0.000 (multiplicity 1)

Output
Spin magnetization: 3.721 μB per formula unit
ΔH_f (0 K): 1.500 eV/atom
Total DFT energy (no corrections): -6.203 eV per atom

---

10.
Density functional theory data (PBE) for crystalline FeNiPtRh at its relaxed geometry.

a b c (Å): 5.992 5.992 5.992
angles (deg): 90.00 90.00 90.00
Space group F-43m (No. 216)
One atom of each set of equivalent atoms:
Fe 0.000 0.000 0.000 (multiplicity 4)
Ni 0.000 0.000 0.500 (multiplicity 4)
Pt 0.250 0.250 0.250 (multiplicity 4)
Rh 0.250 0.250 0.750 (multiplicity 4)

Output
ΔE to the lowest computed polymorph: 0.090 eV per atom
Spin magnetization: 3.275 μB per formula unit
ΔH_f (0 K): -0.053 eV/atom
Total DFT energy (no corrections): -6.962 eV per atom

---

11.
Density functional theory data (PBE) for crystalline FeNiPtRh at its relaxed geometry.

a b c (Å): 3.660 3.801 3.870
angles (deg): 90.00 90.00 90.00
Space group Pmmm (No. 47)
One atom of each set of equivalent atoms:
Fe 0.000 0.000 0.000 (multiplicity 1)
Ni 0.000 0.500 0.500 (multiplicity 1)
Pt 0.500 0.000 0.500 (multiplicity 1)
Rh 0.500 0.500 0.000 (multiplicity 1)

Output
ΔE to the lowest computed polymorph: 0.000 eV per atom
Spin magnetization: 4.884 μB per formula unit
ΔH_f (0 K): -0.143 eV/atom
Total DFT energy (no corrections): -7.052 eV per atom

---

12.
Density functional theory data (PBE) for crystalline FeNi2Pt2Rh at its relaxed geometry.

a b c (Å): 5.169 7.405 4.270
angles (deg): 90.00 90.00 90.00
Space group Pnnm (No. 58)
One atom of each set of equivalent atoms:
Fe 0.000 0.000 0.000 (multiplicity 2)
Ni 0.241 0.333 0.000 (multiplicity 4)
Pt 0.243 0.165 0.500 (multiplicity 4)
Rh 0.000 0.500 0.500 (multiplicity 2)

Output
Spin magnetization: 5.778 μB per formula unit
ΔH_f (0 K): -0.029 eV/atom
Total DFT energy (no corrections): -6.605 eV per atom

---

13.
Density functional theory data (PBE) for crystalline FeNiRuPt at its relaxed geometry.

a b c (Å): 5.967 5.967 5.967
angles (deg): 90.00 90.00 90.00
Space group F-43m (No. 216)
One atom of each set of equivalent atoms:
Fe 0.000 0.000 0.000 (multiplicity 4)
Ni 0.000 0.000 0.500 (multiplicity 4)
Ru 0.250 0.250 0.750 (multiplicity 4)
Pt 0.250 0.250 0.250 (multiplicity 4)

Output
Spin magnetization: 2.326 μB per formula unit
ΔH_f (0 K): 0.054 eV/atom
Total DFT energy (no corrections): -7.336 eV per atom

---

14.
Density functional theory data (PBE) for crystalline Ta2FeNi7Pt2 at its relaxed geometry.

a b c (Å): 4.797 4.797 14.199
angles (deg): 90.00 99.66 90.00
Space group C2/m (No. 12)
One atom of each set of equivalent atoms:
Ta 0.181 0.000 0.364 (multiplicity 4)
Fe 0.000 0.500 0.000 (multiplicity 2)
Ni 0.000 0.000 0.000 (multiplicity 2)
Ni 0.186 0.250 0.869 (multiplicity 8)
Ni 0.230 0.500 0.460 (multiplicity 4)
Pt 0.136 0.500 0.273 (multiplicity 4)

Output
Spin magnetization: 4.796 μB per formula unit
ΔH_f (0 K): -0.159 eV/atom
Total DFT energy (no corrections): -7.219 eV per atom

---

15.
Density functional theory data (PBE) for crystalline V5Fe2NiPt2 at its relaxed geometry.

a b c (Å): 9.690 9.690 2.853
angles (deg): 90.00 90.00 90.00
Space group P4/mbm (No. 127)
One atom of each set of equivalent atoms:
V 0.000 0.500 0.000 (multiplicity 2)
V 0.074 0.193 0.000 (multiplicity 8)
Fe 0.131 0.369 0.500 (multiplicity 4)
Ni 0.000 0.000 0.500 (multiplicity 2)
Pt 0.171 0.671 0.500 (multiplicity 4)

Output
Spin magnetization: 1.571 μB per formula unit
ΔH_f (0 K): -0.053 eV/atom
Total DFT energy (no corrections): -8.091 eV per atom

---

16.
Density functional theory data (PBE) for crystalline V2FeNiPt2 at its relaxed geometry.

a b c (Å): 5.051 13.074 4.980
angles (deg): 90.00 90.00 90.00
Space group Ibam (No. 72)
One atom of each set of equivalent atoms:
V 0.210 0.122 0.000 (multiplicity 8)
Fe 0.000 0.000 0.250 (multiplicity 4)
Ni 0.000 0.500 0.250 (multiplicity 4)
Pt 0.200 0.319 0.000 (multiplicity 8)

Output
Spin magnetization: 0.000 μB per formula unit
ΔH_f (0 K): -0.171 eV/atom
Total DFT energy (no corrections): -7.598 eV per atom

---

17.
Density functional theory data (PBE) for crystalline V2FeNiPt at its relaxed geometry.

a b c (Å): 4.127 4.127 4.640
angles (deg): 90.00 90.00 90.00
Space group P4/mmm (No. 123)
One atom of each set of equivalent atoms:
V 0.000 0.500 0.000 (multiplicity 2)
Fe 0.000 0.000 0.000 (multiplicity 1)
Ni 0.500 0.500 0.500 (multiplicity 1)
Pt 0.000 0.000 0.500 (multiplicity 1)

Output
Spin magnetization: 0.061 μB per formula unit
ΔH_f (0 K): 0.822 eV/atom
Total DFT energy (no corrections): -6.883 eV per atom

---

18.
Density functional theory data (PBE) for crystalline V2FeNi7Pt2 at its relaxed geometry.

a b c (Å): 4.891 4.891 12.893
angles (deg): 90.00 100.84 90.00
Space group C2/m (No. 12)
One atom of each set of equivalent atoms:
V 0.138 0.000 0.278 (multiplicity 4)
Fe 0.000 0.500 0.000 (multiplicity 2)
Ni 0.000 0.000 0.000 (multiplicity 2)
Ni 0.177 0.250 0.853 (multiplicity 8)
Ni 0.227 0.000 0.455 (multiplicity 4)
Pt 0.169 0.500 0.340 (multiplicity 4)

Output
Spin magnetization: 3.787 μB per formula unit
ΔH_f (0 K): -0.037 eV/atom
Total DFT energy (no corrections): -6.642 eV per atom

---

19.
Density functional theory data (PBE) for crystalline VFeNiPt at its relaxed geometry.

a b c (Å): 3.731 3.731 7.386
angles (deg): 90.00 90.00 90.00
Space group I-4m2 (No. 119)
One atom of each set of equivalent atoms:
V 0.000 0.000 0.000 (multiplicity 2)
Fe 0.000 0.500 0.750 (multiplicity 2)
Ni 0.000 0.000 0.500 (multiplicity 2)
Pt 0.000 0.500 0.250 (multiplicity 2)

Output
ΔE to the lowest computed polymorph: 0.000 eV per atom
Spin magnetization: 1.605 μB per formula unit
ΔH_f (0 K): -0.302 eV/atom
Total DFT energy (no corrections): -7.653 eV per atom

---

20.
Density functional theory data (PBE) for crystalline VFeNiPt at its relaxed geometry.

a b c (Å): 5.921 5.921 5.921
angles (deg): 90.00 90.00 90.00
Space group F-43m (No. 216)
One atom of each set of equivalent atoms:
V 0.000 0.000 0.000 (multiplicity 4)
Fe 0.250 0.250 0.750 (multiplicity 4)
Ni 0.250 0.250 0.250 (multiplicity 4)
Pt 0.000 0.000 0.500 (multiplicity 4)

Output
ΔE to the lowest computed polymorph: 0.108 eV per atom
Spin magnetization: 1.106 μB per formula unit
ΔH_f (0 K): -0.193 eV/atom
Total DFT energy (no corrections): -7.544 eV per atom